(1)
Computed, not measured: crystalline Bi2B3HO8 at its relaxed geometry at the GGA-PBEsol level of DFT.

Values from the calculation:
Mass density ... 5.972 g/cm3
E_tot ... -7.25 eV/atom
Total magnetization ... 0.0 μB per formula unit

Structure (CIF):
```
data_Bi2B3HO8
_chemical_formula_sum 'Bi16 B24 H8 O64'
_symmetry_space_group_name_H-M 'P b c a'
_symmetry_Int_Tables_number 61
_symmetry_space_group_name_Hall '-P 2ac 2ab'
_cell_length_a 5.8946
_cell_length_b 11.3903
_cell_length_c 19.1952
_cell_angle_alpha 90.00
_cell_angle_beta 90.00
_cell_angle_gamma 90.00
loop_
_atom_site_label
_atom_site_type_symbol
_atom_site_fract_x
_atom_site_fract_y
_atom_site_fract_z
_atom_site_occupancy
Bi1 Bi 0.2098 0.0928 0.1906 1
Bi2 Bi 0.2267 0.1534 0.8178 1
B1 B 0.0386 0.2100 0.0490 1
B2 B 0.1380 0.6474 0.5622 1
B3 B 0.2202 0.0798 0.4448 1
H1 H 0.0575 0.0148 0.5611 1
O1 O 0.0188 0.2111 0.2669 1
O2 O 0.0374 0.2084 0.9786 1
O3 O 0.0478 0.5841 0.6199 1
O4 O 0.0587 0.0240 0.4055 1
O5 O 0.0674 0.0231 0.7518 1
O6 O 0.1246 0.6509 0.4106 1
O7 O 0.1943 0.2337 0.5891 1
O8 O 0.2344 0.0645 0.5154 1
```



(2)
Computed, not measured: crystalline TiSbTe2H at its relaxed geometry at the GGA-PBEsol level of DFT.

Values from the calculation:
Mass density ... 4.956 g/cm3
E_tot ... -4.19 eV/atom
Total magnetization ... 0.9 μB per formula unit

Structure (CIF):
```
data_TiSbTe2H
_chemical_formula_sum 'Ti1 Sb1 Te2 H1'
_symmetry_space_group_name_H-M 'P 4/m m m'
_symmetry_Int_Tables_number 123
_symmetry_space_group_name_Hall '-P 4 2'
_cell_length_a 5.2335
_cell_length_b 5.2335
_cell_length_c 5.2095
_cell_angle_alpha 90.00
_cell_angle_beta 90.00
_cell_angle_gamma 90.00
loop_
_atom_site_label
_atom_site_type_symbol
_atom_site_fract_x
_atom_site_fract_y
_atom_site_fract_z
_atom_site_occupancy
Ti1 Ti 0.0000 0.0000 0.0000 1
Sb1 Sb 0.0000 0.0000 0.5000 1
Te1 Te 0.0000 0.5000 0.0000 1
H1 H 0.5000 0.5000 0.5000 1
```



(3)
Computed, not measured: crystalline BeRePb2 at its relaxed geometry at the GGA-PBEsol level of DFT.

Values from the calculation:
Energy of formation from the pure elements ... 1.143 eV per atom
Mass density ... 13.002 g/cm3
Total magnetization ... 0.0 μB per formula unit

Structure (CIF):
```
data_BeRePb2
_chemical_formula_sum 'Be2 Re2 Pb4'
_symmetry_space_group_name_H-M 'C m m m'
_symmetry_Int_Tables_number 65
_symmetry_space_group_name_Hall '-C 2 2'
_cell_length_a 3.5263
_cell_length_b 5.2378
_cell_length_c 8.4303
_cell_angle_alpha 90.00
_cell_angle_beta 90.00
_cell_angle_gamma 90.00
loop_
_atom_site_label
_atom_site_type_symbol
_atom_site_fract_x
_atom_site_fract_y
_atom_site_fract_z
_atom_site_occupancy
Be1 Be 0.0000 0.0000 0.0000 1
Re1 Re 0.0000 0.0000 0.5000 1
Pb1 Pb 0.0000 0.5000 0.2415 1
```



(4)
Computed, not measured: crystalline ScAl2In at its relaxed geometry at the GGA-PBEsol level of DFT.

Values from the calculation:
Energy of formation from the pure elements ... -0.392 eV per atom
Mass density ... 4.813 g/cm3
Total magnetization ... 0.0 μB per formula unit

Structure (CIF):
```
data_ScAl2In
_chemical_formula_sum 'Sc1 Al2 In1'
_symmetry_space_group_name_H-M 'P 4/m m m'
_symmetry_Int_Tables_number 123
_symmetry_space_group_name_Hall '-P 4 2'
_cell_length_a 4.2108
_cell_length_b 4.2108
_cell_length_c 4.1588
_cell_angle_alpha 90.00
_cell_angle_beta 90.00
_cell_angle_gamma 90.00
loop_
_atom_site_label
_atom_site_type_symbol
_atom_site_fract_x
_atom_site_fract_y
_atom_site_fract_z
_atom_site_occupancy
Sc1 Sc 0.0000 0.0000 0.0000 1
Al1 Al 0.0000 0.5000 0.5000 1
In1 In 0.5000 0.5000 0.0000 1
```



(5)
Computed, not measured: crystalline SrCr2SiB at its relaxed geometry at the GGA-PBEsol level of DFT.

Values from the calculation:
Formation energy (no corrections) ... 140.5 kJ/mol of atoms
Mass density ... 3.271 g/cm3
Total magnetization ... 5.8 μB per formula unit

Structure (CIF):
```
data_SrCr2SiB
_chemical_formula_sum 'Sr1 Cr2 Si1 B1'
_symmetry_space_group_name_H-M 'P 4/m m m'
_symmetry_Int_Tables_number 123
_symmetry_space_group_name_Hall '-P 4 2'
_cell_length_a 4.5138
_cell_length_b 4.5138
_cell_length_c 5.7430
_cell_angle_alpha 90.00
_cell_angle_beta 90.00
_cell_angle_gamma 90.00
loop_
_atom_site_label
_atom_site_type_symbol
_atom_site_fract_x
_atom_site_fract_y
_atom_site_fract_z
_atom_site_occupancy
Sr1 Sr 0.0000 0.0000 0.0000 1
Cr1 Cr 0.0000 0.5000 0.5000 1
Si1 Si 0.0000 0.0000 0.5000 1
B1 B 0.5000 0.5000 0.0000 1
```



(6)
Computed, not measured: crystalline KAlTl2 at its relaxed geometry at the GGA-PBEsol level of DFT.

Values from the calculation:
Energy above the lowest structure with this stoichiometry ... 26 meV/atom
Energy of formation from the pure elements ... 0.127 eV per atom
Mass density ... 6.434 g/cm3
Total magnetization ... 0.0 μB per formula unit

Structure (CIF):
```
data_KAlTl2
_chemical_formula_sum 'K2 Al2 Tl4'
_symmetry_space_group_name_H-M 'C 1 m 1'
_symmetry_Int_Tables_number 8
_symmetry_space_group_name_Hall 'C -2y'
_cell_length_a 9.5637
_cell_length_b 3.3679
_cell_length_c 7.6657
_cell_angle_alpha 90.00
_cell_angle_beta 96.91
_cell_angle_gamma 90.00
loop_
_atom_site_label
_atom_site_type_symbol
_atom_site_fract_x
_atom_site_fract_y
_atom_site_fract_z
_atom_site_occupancy
K1 K 0.0000 0.0000 0.0000 1
Al1 Al 0.2523 0.5000 0.3196 1
Tl1 Tl 0.2432 0.0000 0.6880 1
Tl2 Tl 0.4919 0.0000 0.4511 1
```



(7)
Computed, not measured: crystalline Zr3TaIr at its relaxed geometry at the GGA-PBEsol level of DFT.

Values from the calculation:
Energy of formation from the pure elements ... 0.635 eV per atom
Mass density ... 8.940 g/cm3
Total magnetization ... 0.0 μB per formula unit

Structure (CIF):
```
data_Zr3TaIr
_chemical_formula_sum 'Zr3 Ta1 Ir1'
_symmetry_space_group_name_H-M 'P m -3 m'
_symmetry_Int_Tables_number 221
_symmetry_space_group_name_Hall '-P 4 2 3'
_cell_length_a 4.9345
_cell_length_b 4.9345
_cell_length_c 4.9345
_cell_angle_alpha 90.00
_cell_angle_beta 90.00
_cell_angle_gamma 90.00
loop_
_atom_site_label
_atom_site_type_symbol
_atom_site_fract_x
_atom_site_fract_y
_atom_site_fract_z
_atom_site_occupancy
Zr1 Zr 0.0000 0.0000 0.5000 1
Ta1 Ta 0.5000 0.5000 0.5000 1
Ir1 Ir 0.0000 0.0000 0.0000 1
```



(8)
Computed, not measured: crystalline Sc5Ir3 at its relaxed geometry at the GGA-PBEsol level of DFT.

Values from the calculation:
Energy above the lowest structure with this stoichiometry ... 52 meV/atom
Energy of formation from the pure elements ... -0.747 eV per atom
Mass density ... 9.571 g/cm3
Total magnetization ... 0.0 μB per formula unit

Structure (CIF):
```
data_Sc5Ir3
_chemical_formula_sum 'Sc10 Ir6'
_symmetry_space_group_name_H-M 'C m m m'
_symmetry_Int_Tables_number 65
_symmetry_space_group_name_Hall '-C 2 2'
_cell_length_a 6.7312
_cell_length_b 9.1717
_cell_length_c 4.5043
_cell_angle_alpha 90.00
_cell_angle_beta 90.00
_cell_angle_gamma 90.00
loop_
_atom_site_label
_atom_site_type_symbol
_atom_site_fract_x
_atom_site_fract_y
_atom_site_fract_z
_atom_site_occupancy
Sc1 Sc 0.0000 0.0000 0.0000 1
Sc2 Sc 0.2262 0.5000 0.5000 1
Sc3 Sc 0.2500 0.2500 0.0000 1
Ir1 Ir 0.0000 0.2304 0.5000 1
Ir2 Ir 0.0000 0.5000 0.0000 1
```



(9)
Computed, not measured: crystalline Be2AlTlIn at its relaxed geometry at the GGA-PBEsol level of DFT.

Values from the calculation:
Energy of formation from the pure elements ... 0.797 eV per atom
Mass density ... 5.512 g/cm3
Total magnetization ... 0.0 μB per formula unit

Structure (CIF):
```
data_Be2AlTlIn
_chemical_formula_sum 'Be2 Al1 Tl1 In1'
_symmetry_space_group_name_H-M 'P 4/m m m'
_symmetry_Int_Tables_number 123
_symmetry_space_group_name_Hall '-P 4 2'
_cell_length_a 4.4705
_cell_length_b 4.4705
_cell_length_c 5.4901
_cell_angle_alpha 90.00
_cell_angle_beta 90.00
_cell_angle_gamma 90.00
loop_
_atom_site_label
_atom_site_type_symbol
_atom_site_fract_x
_atom_site_fract_y
_atom_site_fract_z
_atom_site_occupancy
Be1 Be 0.0000 0.5000 0.0000 1
Al1 Al 0.0000 0.0000 0.0000 1
Tl1 Tl 0.5000 0.5000 0.5000 1
In1 In 0.0000 0.0000 0.5000 1
```



(10)
Computed, not measured: crystalline MnMo2Os at its relaxed geometry at the GGA-PBEsol level of DFT.

Values from the calculation:
Energy above the lowest structure with this stoichiometry ... 1 meV/atom
Energy of formation from the pure elements ... 0.180 eV per atom
Mass density ... 12.945 g/cm3
Total magnetization ... 1.5 μB per formula unit

Structure (CIF):
```
data_MnMo2Os
_chemical_formula_sum 'Mn1 Mo2 Os1'
_symmetry_space_group_name_H-M 'P m m m'
_symmetry_Int_Tables_number 47
_symmetry_space_group_name_Hall '-P 2 2'
_cell_length_a 2.7148
_cell_length_b 3.8362
_cell_length_c 5.3833
_cell_angle_alpha 90.00
_cell_angle_beta 90.00
_cell_angle_gamma 90.00
loop_
_atom_site_label
_atom_site_type_symbol
_atom_site_fract_x
_atom_site_fract_y
_atom_site_fract_z
_atom_site_occupancy
Mn1 Mn 0.0000 0.0000 0.0000 1
Mo1 Mo 0.5000 0.5000 0.2463 1
Os1 Os 0.0000 0.0000 0.5000 1
```



(11)
Computed, not measured: crystalline Os2RuW at its relaxed geometry at the GGA-PBEsol level of DFT.

Values from the calculation:
Energy above the lowest structure with this stoichiometry ... 83 meV/atom
Energy of formation from the pure elements ... 0.074 eV per atom
Mass density ... 19.382 g/cm3
Total magnetization ... 0.0 μB per formula unit

Structure (CIF):
```
data_Os2RuW
_chemical_formula_sum 'Os2 Ru1 W1'
_symmetry_space_group_name_H-M 'P m m 2'
_symmetry_Int_Tables_number 25
_symmetry_space_group_name_Hall 'P 2 -2'
_cell_length_a 2.7219
_cell_length_b 3.8273
_cell_length_c 5.4723
_cell_angle_alpha 90.00
_cell_angle_beta 90.00
_cell_angle_gamma 90.00
loop_
_atom_site_label
_atom_site_type_symbol
_atom_site_fract_x
_atom_site_fract_y
_atom_site_fract_z
_atom_site_occupancy
Os1 Os 0.0000 0.0000 0.0000 1
Os2 Os 0.5000 0.5000 0.2385 1
Ru1 Ru 0.0000 0.0000 0.4868 1
W1 W 0.5000 0.5000 0.7383 1
```



(12)
Computed, not measured: crystalline Li2MgIn at its relaxed geometry at the GGA-PBEsol level of DFT.

Values from the calculation:
Energy of formation from the pure elements ... -0.209 eV per atom
Mass density ... 3.357 g/cm3
Total magnetization ... 0.0 μB per formula unit

Structure (CIF):
```
data_Li2MgIn
_chemical_formula_sum 'Li2 Mg1 In1'
_symmetry_space_group_name_H-M 'P 4/m m m'
_symmetry_Int_Tables_number 123
_symmetry_space_group_name_Hall '-P 4 2'
_cell_length_a 3.4515
_cell_length_b 3.4515
_cell_length_c 6.3532
_cell_angle_alpha 90.00
_cell_angle_beta 90.00
_cell_angle_gamma 90.00
loop_
_atom_site_label
_atom_site_type_symbol
_atom_site_fract_x
_atom_site_fract_y
_atom_site_fract_z
_atom_site_occupancy
Li1 Li 0.0000 0.0000 0.2352 1
Mg1 Mg 0.5000 0.5000 0.5000 1
In1 In 0.5000 0.5000 0.0000 1
```